DFT (GGA-PBEsol) results for Zn2AgIr after structural relaxation.

Cell: 2.972 4.368 4.368 Å, 97.11 90.00 90.00°
Atoms (fractional coordinates):
Ag: 0.500 0.500 0.500
Zn: 0.000 0.000 0.500
Zn: 0.000 0.500 0.000
Ir: 0.500 0.000 0.000

Results
Total magnetization: 0.00 Bohr magnetons per cell
Space-group type: Cmmm, No. 65
E_tot: -4.22 eV/atom
Formation energy from the elements: -0.144 eV per atom